(1)
# Ca2PmPaBi4, optimized geometry, DFT PBE
data_Ca2PmPaBi4
_symmetry_space_group_name_H-M 'P 1 2/m 1'
_symmetry_Int_Tables_number 10
_cell_length_a 7.906
_cell_length_b 4.598
_cell_length_c 7.912
_cell_angle_alpha 90.00
_cell_angle_beta 109.37
_cell_angle_gamma 90.00
loop_
_symmetry_equiv_pos_as_xyz
'x,y,z'
'-x,-y,-z'
'-x,y,-z'
'x,-y,z'
loop_
_atom_site_label
_atom_site_type_symbol
_atom_site_fract_x
_atom_site_fract_y
_atom_site_fract_z
_atom_site_occupancy
Ca1 Ca 0.000 0.000 0.000 1
Ca2 Ca 0.000 0.500 0.500 1
Pm1 Pm 0.500 0.000 0.500 1
Pa1 Pa 0.500 0.500 0.000 1
Bi1 Bi 0.259 0.500 0.243 1
Bi2 Bi 0.263 0.000 0.762 1
# Calculated formation energy, eV/atom: -0.67
# Total magnetic moment, μB/f.u.: 0.137

***

(2)
# Ca2PuPaBi4, optimized geometry, DFT PBE
data_Ca2PuPaBi4
_symmetry_space_group_name_H-M 'P 1 2/m 1'
_symmetry_Int_Tables_number 10
_cell_length_a 7.862
_cell_length_b 4.601
_cell_length_c 7.937
_cell_angle_alpha 90.00
_cell_angle_beta 109.77
_cell_angle_gamma 90.00
loop_
_symmetry_equiv_pos_as_xyz
'x,y,z'
'-x,-y,-z'
'-x,y,-z'
'x,-y,z'
loop_
_atom_site_label
_atom_site_type_symbol
_atom_site_fract_x
_atom_site_fract_y
_atom_site_fract_z
_atom_site_occupancy
Ca1 Ca 0.000 0.000 0.000 1
Ca2 Ca 0.000 0.500 0.500 1
Pu1 Pu 0.500 0.000 0.500 1
Pa1 Pa 0.500 0.500 0.000 1
Bi1 Bi 0.263 0.500 0.248 1
Bi2 Bi 0.264 0.000 0.762 1
# Calculated formation energy, eV/atom: -0.52
# Total magnetic moment, μB/f.u.: 5.072

***

(3)
# CaPu2PaBi4, optimized geometry, DFT PBE
data_CaPu2PaBi4
_symmetry_space_group_name_H-M 'P 1 2/m 1'
_symmetry_Int_Tables_number 10
_cell_length_a 7.843
_cell_length_b 4.561
_cell_length_c 7.855
_cell_angle_alpha 90.00
_cell_angle_beta 109.47
_cell_angle_gamma 90.00
loop_
_symmetry_equiv_pos_as_xyz
'x,y,z'
'-x,-y,-z'
'-x,y,-z'
'x,-y,z'
loop_
_atom_site_label
_atom_site_type_symbol
_atom_site_fract_x
_atom_site_fract_y
_atom_site_fract_z
_atom_site_occupancy
Ca1 Ca 0.000 0.000 0.000 1
Pu1 Pu 0.000 0.500 0.500 1
Pu2 Pu 0.500 0.000 0.500 1
Pa1 Pa 0.500 0.500 0.000 1
Bi1 Bi 0.257 0.000 0.756 1
Bi2 Bi 0.258 0.500 0.249 1
# Calculated formation energy, eV/atom: -0.40
# Total magnetic moment, μB/f.u.: 11.049

***

(4)
# CaPaBiSb, optimized geometry, DFT PBE
data_CaPaBiSb
_symmetry_space_group_name_H-M 'F -4 3 m'
_symmetry_Int_Tables_number 216
_symmetry_space_group_name_Hall 'F -4 2 3'
_cell_length_a 7.702
_cell_length_b 7.702
_cell_length_c 7.702
_cell_angle_alpha 90.00
_cell_angle_beta 90.00
_cell_angle_gamma 90.00
loop_
_atom_site_label
_atom_site_type_symbol
_atom_site_fract_x
_atom_site_fract_y
_atom_site_fract_z
_atom_site_occupancy
Ca1 Ca 0.000 0.000 0.000 1
Pa1 Pa 0.000 0.000 0.500 1
Bi1 Bi 0.250 0.250 0.250 1
Sb1 Sb 0.250 0.250 0.750 1
# Raw formation energy, meV per atom: -393.5
# Total magnetic moment, μB/f.u.: 0.848

***

(5)
# Ca3Sc2PaBi6, optimized geometry, DFT PBE
data_Ca3Sc2PaBi6
_symmetry_space_group_name_H-M 'C 1 2/m 1'
_symmetry_Int_Tables_number 12
_cell_length_a 7.672
_cell_length_b 13.291
_cell_length_c 7.903
_cell_angle_alpha 90.00
_cell_angle_beta 108.92
_cell_angle_gamma 90.00
loop_
_symmetry_equiv_pos_as_xyz
'x,y,z'
'-x,-y,-z'
'-x,y,-z'
'x,-y,z'
'x+1/2,y+1/2,z'
'-x+1/2,-y+1/2,-z'
'-x+1/2,y+1/2,-z'
'x+1/2,-y+1/2,z'
loop_
_atom_site_label
_atom_site_type_symbol
_atom_site_fract_x
_atom_site_fract_y
_atom_site_fract_z
_atom_site_occupancy
Ca1 Ca 0.000 0.000 0.000 1
Ca2 Ca 0.000 0.336 0.000 1
Sc1 Sc 0.000 0.167 0.500 1
Pa1 Pa 0.000 0.500 0.500 1
Bi1 Bi 0.236 0.000 0.728 1
Bi2 Bi 0.247 0.330 0.730 1
# Calculated formation energy, eV/atom: -0.63
# Total magnetic moment, μB/f.u.: 0.000

***

(6)
# CaSc2PaBi4, optimized geometry, DFT PBE
data_CaSc2PaBi4
_symmetry_space_group_name_H-M 'P 1 2/m 1'
_symmetry_Int_Tables_number 10
_cell_length_a 7.597
_cell_length_b 4.391
_cell_length_c 7.636
_cell_angle_alpha 90.00
_cell_angle_beta 108.98
_cell_angle_gamma 90.00
loop_
_symmetry_equiv_pos_as_xyz
'x,y,z'
'-x,-y,-z'
'-x,y,-z'
'x,-y,z'
loop_
_atom_site_label
_atom_site_type_symbol
_atom_site_fract_x
_atom_site_fract_y
_atom_site_fract_z
_atom_site_occupancy
Ca1 Ca 0.000 0.000 0.000 1
Sc1 Sc 0.500 0.000 0.500 1
Sc2 Sc 0.500 0.500 0.000 1
Pa1 Pa 0.000 0.500 0.500 1
Bi1 Bi 0.266 0.000 0.754 1
Bi2 Bi 0.266 0.500 0.261 1
# Calculated formation energy, eV/atom: -0.55
# Total magnetic moment, μB/f.u.: 0.721

***

(7)
# CaSm2PaBi4, optimized geometry, DFT PBE
data_CaSm2PaBi4
_symmetry_space_group_name_H-M 'P 1 2/m 1'
_symmetry_Int_Tables_number 10
_cell_length_a 7.865
_cell_length_b 4.540
_cell_length_c 7.872
_cell_angle_alpha 90.00
_cell_angle_beta 109.02
_cell_angle_gamma 90.00
loop_
_symmetry_equiv_pos_as_xyz
'x,y,z'
'-x,-y,-z'
'-x,y,-z'
'x,-y,z'
loop_
_atom_site_label
_atom_site_type_symbol
_atom_site_fract_x
_atom_site_fract_y
_atom_site_fract_z
_atom_site_occupancy
Ca1 Ca 0.000 0.000 0.000 1
Sm1 Sm 0.000 0.500 0.500 1
Sm2 Sm 0.500 0.000 0.500 1
Pa1 Pa 0.500 0.500 0.000 1
Bi1 Bi 0.255 0.000 0.754 1
Bi2 Bi 0.256 0.500 0.246 1
# Calculated formation energy, eV/atom: -0.69
# Total magnetic moment, μB/f.u.: 0.680

***

(8)
# Ca2SmPaBi4, optimized geometry, DFT PBE
data_Ca2SmPaBi4
_symmetry_space_group_name_H-M 'P 1 2/m 1'
_symmetry_Int_Tables_number 10
_cell_length_a 7.896
_cell_length_b 4.590
_cell_length_c 7.905
_cell_angle_alpha 90.00
_cell_angle_beta 109.34
_cell_angle_gamma 90.00
loop_
_symmetry_equiv_pos_as_xyz
'x,y,z'
'-x,-y,-z'
'-x,y,-z'
'x,-y,z'
loop_
_atom_site_label
_atom_site_type_symbol
_atom_site_fract_x
_atom_site_fract_y
_atom_site_fract_z
_atom_site_occupancy
Ca1 Ca 0.000 0.000 0.000 1
Ca2 Ca 0.500 0.500 0.000 1
Sm1 Sm 0.000 0.500 0.500 1
Pa1 Pa 0.500 0.000 0.500 1
Bi1 Bi 0.256 0.000 0.740 1
Bi2 Bi 0.261 0.500 0.263 1
# Calculated formation energy, eV/atom: -0.67
# Total magnetic moment, μB/f.u.: 0.138

***

(9)
# Ca3Sm2PaBi6, optimized geometry, DFT PBE
data_Ca3Sm2PaBi6
_symmetry_space_group_name_H-M 'C 1 2/m 1'
_symmetry_Int_Tables_number 12
_cell_length_a 7.944
_cell_length_b 13.781
_cell_length_c 7.900
_cell_angle_alpha 90.00
_cell_angle_beta 109.67
_cell_angle_gamma 90.00
loop_
_symmetry_equiv_pos_as_xyz
'x,y,z'
'-x,-y,-z'
'-x,y,-z'
'x,-y,z'
'x+1/2,y+1/2,z'
'-x+1/2,-y+1/2,-z'
'-x+1/2,y+1/2,-z'
'x+1/2,-y+1/2,z'
loop_
_atom_site_label
_atom_site_type_symbol
_atom_site_fract_x
_atom_site_fract_y
_atom_site_fract_z
_atom_site_occupancy
Ca1 Ca 0.000 0.000 0.000 1
Ca2 Ca 0.000 0.329 0.000 1
Sm1 Sm 0.000 0.166 0.500 1
Pa1 Pa 0.000 0.500 0.500 1
Bi1 Bi 0.242 0.337 0.740 1
Bi2 Bi 0.244 0.500 0.258 1
# Calculated formation energy, eV/atom: -0.71
# Total magnetic moment, μB/f.u.: 0.000

***

(10)
# SrCa2PaBi4, optimized geometry, DFT PBE
data_SrCa2PaBi4
_symmetry_space_group_name_H-M 'P 1 2/m 1'
_symmetry_Int_Tables_number 10
_cell_length_a 7.860
_cell_length_b 4.771
_cell_length_c 8.058
_cell_angle_alpha 90.00
_cell_angle_beta 111.38
_cell_angle_gamma 90.00
loop_
_symmetry_equiv_pos_as_xyz
'x,y,z'
'-x,-y,-z'
'-x,y,-z'
'x,-y,z'
loop_
_atom_site_label
_atom_site_type_symbol
_atom_site_fract_x
_atom_site_fract_y
_atom_site_fract_z
_atom_site_occupancy
Sr1 Sr 0.000 0.000 0.000 1
Ca1 Ca 0.500 0.000 0.500 1
Ca2 Ca 0.500 0.500 0.000 1
Pa1 Pa 0.000 0.500 0.500 1
Bi1 Bi 0.238 0.000 0.730 1
Bi2 Bi 0.249 0.500 0.272 1
# Calculated formation energy, eV/atom: -0.59
# Total magnetic moment, μB/f.u.: 0.000

***

(11)
# Sr2CaPaBi4, optimized geometry, DFT PBE
data_Sr2CaPaBi4
_symmetry_space_group_name_H-M 'P 1 2/m 1'
_symmetry_Int_Tables_number 10
_cell_length_a 8.018
_cell_length_b 4.767
_cell_length_c 8.170
_cell_angle_alpha 90.00
_cell_angle_beta 110.47
_cell_angle_gamma 90.00
loop_
_symmetry_equiv_pos_as_xyz
'x,y,z'
'-x,-y,-z'
'-x,y,-z'
'x,-y,z'
loop_
_atom_site_label
_atom_site_type_symbol
_atom_site_fract_x
_atom_site_fract_y
_atom_site_fract_z
_atom_site_occupancy
Sr1 Sr 0.000 0.000 0.000 1
Sr2 Sr 0.500 0.500 0.000 1
Ca1 Ca 0.000 0.500 0.500 1
Pa1 Pa 0.500 0.000 0.500 1
Bi1 Bi 0.255 0.000 0.725 1
Bi2 Bi 0.271 0.500 0.278 1
# Calculated formation energy, eV/atom: -0.62
# Total magnetic moment, μB/f.u.: 0.000

***

(12)
# Ca2TbPaBi4, optimized geometry, DFT PBE
data_Ca2TbPaBi4
_symmetry_space_group_name_H-M 'P 1 2/m 1'
_symmetry_Int_Tables_number 10
_cell_length_a 7.842
_cell_length_b 4.571
_cell_length_c 7.906
_cell_angle_alpha 90.00
_cell_angle_beta 109.28
_cell_angle_gamma 90.00
loop_
_symmetry_equiv_pos_as_xyz
'x,y,z'
'-x,-y,-z'
'-x,y,-z'
'x,-y,z'
loop_
_atom_site_label
_atom_site_type_symbol
_atom_site_fract_x
_atom_site_fract_y
_atom_site_fract_z
_atom_site_occupancy
Ca1 Ca 0.000 0.000 0.000 1
Ca2 Ca 0.500 0.500 0.000 1
Tb1 Tb 0.000 0.500 0.500 1
Pa1 Pa 0.500 0.000 0.500 1
Bi1 Bi 0.252 0.000 0.738 1
Bi2 Bi 0.259 0.500 0.264 1
# Calculated formation energy, eV/atom: -0.66
# Total magnetic moment, μB/f.u.: 0.140